Record 1
VASP calculation (PBE-GGA) on a relaxed RbTc crystal.

Cell: 4.993 4.993 4.993 Å, 60.00 60.00 60.00°
Site moments in Bohr magnetons follow the coordinates.
Fractional positions:
Rb 0.000 0.000 0.000  0.01
Tc 0.500 0.500 0.500  3.44

Summary:
Total DFT energy (no corrections), eV per atom: -3.091
Theoretical density, Mg/m³: 3.5
Distance to the lowest polymorph of the same formula, eV per atom: 1.2114

---

Record 2
VASP calculation (PBE-GGA) on a relaxed RbTc2 crystal.

Cell: 5.573 5.573 5.573 Å, 60.00 60.00 60.00°
Fractional positions:
Rb 0.000 0.000 0.000
Rb 0.250 0.250 0.250
Tc 0.625 0.625 0.125
Tc 0.625 0.125 0.625
Tc 0.125 0.625 0.625
Tc 0.625 0.625 0.625

Summary:
Total DFT energy (no corrections), eV per atom: -5.673
Theoretical density, Mg/m³: 7.6

---

Record 3
VASP calculation (PBE-GGA) on a relaxed RbTc crystal.

Cell: 2.921 2.921 12.223 Å, 90.00 90.00 120.00°
Fractional positions:
Rb 0.000 0.000 0.000
Rb 0.000 0.000 0.500
Tc 0.333 0.667 0.250
Tc 0.667 0.333 0.750

Summary:
Total DFT energy (no corrections), eV per atom: -3.904
Theoretical density, Mg/m³: 6.7
Distance to the lowest polymorph of the same formula, eV per atom: 0.3984

---

Record 4
VASP calculation (PBE-GGA) on a relaxed RbTc crystal.

Cell: 2.925 2.924 5.991 Å, 90.00 90.00 120.01°
Fractional positions:
Rb 0.667 0.333 0.750
Tc 0.333 0.667 0.250

Summary:
Total DFT energy (no corrections), eV per atom: -3.899
Theoretical density, Mg/m³: 6.9
Distance to the lowest polymorph of the same formula, eV per atom: 0.4036